# NaNp2VO8, relaxed, DFT PBE+U
data_NaNp2VO8
_chemical_formula_sum 'Na1 Np2 V1 O8'
_cell_length_a 4.789
_cell_length_b 4.789
_cell_length_c 6.933
_cell_angle_alpha 90.00
_cell_angle_beta 90.00
_cell_angle_gamma 91.71
_symmetry_space_group_name_H-M 'P 1'
_symmetry_Int_Tables_number 1
_symmetry_space_group_name_Hall 'P 1'
loop_
_atom_site_label
_atom_site_fract_x
_atom_site_fract_y
_atom_site_fract_z
Na1 0.000 0.000 0.000
Np1 0.500 0.500 0.251
Np2 0.500 0.500 0.749
V1 0.000 0.000 0.500
O1 0.209 0.209 0.276
O2 0.209 0.209 0.724
O3 0.296 0.704 0.500
O4 0.323 0.677 0.000
O5 0.677 0.323 0.000
O6 0.704 0.296 0.500
O7 0.791 0.791 0.276
O8 0.791 0.791 0.724
# Magnetic moment   4.0 μB per formula unit
# Volume   158.97 Å³/cell
# DOS at the Fermi energy   7.5 states/eV/cell
# E_tot   -8.6749 eV/atom